{
  "formula": "Tl2NiGeO4",
  "functional": "PBE with a Hubbard U",
  "state": "optimized geometry",
  "total_energy_ev_per_atom": -5.07,
  "sg": "C2 (5)",
  "magnetic_moment_mub_per_fu": 2.00,
  "rho_g_cm3": 7.599,
  "cell": [[4.1121, -3.7912, 0.0000], [4.1121, 3.7912, 0.0000], [-4.0271, 0.0000, 4.2339]],
  "species": ["Tl", "Tl", "Ni", "Ge", "O", "O", "O", "O"],
  "fractional_positions": [[0.0000, 0.0000, 0.0000], [0.7542, 0.2458, 0.5000], [0.5017, 0.4983, 0.0000], [0.2427, 0.7573, 0.5000], [0.2564, 0.5193, 0.1594], [0.3278, 0.1132, 0.6029], [0.4807, 0.7436, 0.8406], [0.8868, 0.6722, 0.3971]]
}